Below is a relaxed structure of Pr4CuI5, with properties calculated at the PBE-GGA level.

Output
The calculation puts the magnetization at 0.0 μB per formula unit. For the total energy, the calculation gives -40.9 eV/cell.

Unit cell a=10.044 b=10.044 c=9.238 alpha=102.70 beta=102.70 gamma=24.35
Sites, in units of the cell vectors:
1 Pr 0.650 0.650 0.077
2 Pr 0.001 0.001 0.214
3 Pr 0.000 0.000 0.786
4 Pr 0.350 0.350 0.923
5 Cu 0.500 0.500 0.000
6 I 0.169 0.169 0.347
7 I 0.827 0.827 0.178
8 I 0.831 0.831 0.653
9 I 0.500 0.500 0.500
10 I 0.173 0.173 0.822



Below is a relaxed structure of Rb2CuI4, with properties calculated at the PBE-GGA level.

Output
For the total energy, the calculation gives -36.4 eV/cell.

Unit cell a=8.087 b=7.179 c=10.836 alpha=90.00 beta=108.49 gamma=90.00
Sites, in units of the cell vectors:
1 Cu 0.717 0.750 0.293
2 Cu 0.283 0.250 0.707
3 Rb 0.812 0.250 0.089
4 Rb 0.724 0.250 0.545
5 Rb 0.188 0.750 0.911
6 Rb 0.276 0.750 0.455
7 I 0.920 0.750 0.146
8 I 0.480 0.491 0.221
9 I 0.480 0.009 0.221
10 I 0.080 0.250 0.854
11 I 0.141 0.250 0.455
12 I 0.859 0.750 0.545
13 I 0.520 0.509 0.779
14 I 0.520 0.991 0.779



Below is a relaxed structure of CuRe2I, with properties calculated at the PBE-GGA level.

Output
The calculation puts the magnetization at 0.0 μB per formula unit. For the total energy, the calculation gives -50.5 eV/cell.

Unit cell a=6.076 b=6.076 c=4.457 alpha=90.00 beta=90.00 gamma=104.57
Sites, in units of the cell vectors:
1 Re 0.935 0.394 0.250
2 Re 0.065 0.606 0.750
3 Re 0.394 0.935 0.750
4 Re 0.606 0.065 0.250
5 I 0.619 0.381 0.750
6 I 0.381 0.619 0.250
7 Cu 0.000 0.000 0.000
8 Cu 0.000 0.000 0.500



Below is a relaxed structure of Cu3SI, with properties calculated at the PBE-GGA level.

Output
For the total energy, the calculation gives -66.9 eV/cell.

Unit cell a=6.324 b=6.324 c=9.136 alpha=90.00 beta=90.00 gamma=91.51
Sites, in units of the cell vectors:
1 Cu 0.680 0.680 0.000
2 Cu 0.887 0.576 0.750
3 Cu 0.764 0.236 0.908
4 Cu 0.576 0.887 0.250
5 Cu 0.236 0.764 0.092
6 Cu 0.764 0.236 0.592
7 Cu 0.320 0.320 0.000
8 Cu 0.320 0.320 0.500
9 Cu 0.680 0.680 0.500
10 Cu 0.113 0.424 0.250
11 Cu 0.424 0.113 0.750
12 Cu 0.236 0.764 0.408
13 I 0.990 0.010 0.250
14 I 0.010 0.990 0.750
15 I 0.543 0.457 0.250
16 I 0.457 0.543 0.750
17 S 0.000 0.500 0.000
18 S 0.500 0.000 0.500
19 S 0.000 0.500 0.500
20 S 0.500 0.000 0.000



Below is a relaxed structure of CuSe6I2, with properties calculated at the PBE-GGA level.

Output
For the total energy, the calculation gives -27.8 eV/cell.

Unit cell a=4.449 b=7.965 c=8.331 alpha=64.91 beta=87.45 gamma=83.81
Sites, in units of the cell vectors:
1 Se 0.854 0.773 0.511
2 Se 0.091 0.517 0.753
3 Se 0.148 0.731 0.275
4 Se 0.146 0.227 0.489
5 Se 0.909 0.483 0.247
6 Se 0.852 0.269 0.725
7 Cu 0.000 0.000 0.000
8 I 0.448 0.845 0.860
9 I 0.552 0.155 0.140



Below is a relaxed structure of CuTe4I, with properties calculated at the PBE-GGA level.

Output
For the total energy, the calculation gives -34.7 eV/cell.

Unit cell a=7.566 b=7.779 c=7.983 alpha=96.55 beta=113.47 gamma=98.04
Sites, in units of the cell vectors:
1 Te 0.168 0.119 0.288
2 Te 0.783 0.929 0.147
3 Te 0.686 0.372 0.846
4 Te 0.217 0.071 0.853
5 Te 0.314 0.628 0.154
6 Te 0.876 0.568 0.193
7 Te 0.832 0.881 0.712
8 Te 0.124 0.432 0.807
9 Cu 0.046 0.808 0.040
10 Cu 0.954 0.192 0.960
11 I 0.366 0.763 0.617
12 I 0.634 0.237 0.383



Below is a relaxed structure of ThCu2I8, with properties calculated at the PBE-GGA level.

Output
The calculation puts the magnetization at 0.0 μB per formula unit. For the total energy, the calculation gives -34.1 eV/cell.

Unit cell a=8.831 b=8.831 c=7.012 alpha=99.97 beta=99.97 gamma=95.30
Sites, in units of the cell vectors:
1 I 0.939 0.276 0.797
2 I 0.276 0.939 0.797
3 I 0.227 0.227 0.346
4 I 0.724 0.061 0.203
5 I 0.773 0.773 0.654
6 I 0.422 0.422 0.810
7 I 0.578 0.578 0.190
8 I 0.061 0.724 0.203
9 Th 0.000 0.000 0.000
10 Cu 0.188 0.188 0.697
11 Cu 0.812 0.812 0.303



Below is a relaxed structure of Tl2CuI3, with properties calculated at the PBE-GGA level.

Output
For the total energy, the calculation gives -64.1 eV/cell.

Unit cell a=9.307 b=9.690 c=9.523 alpha=90.00 beta=90.00 gamma=90.00
Sites, in units of the cell vectors:
1 Tl 0.154 0.858 0.740
2 Tl 0.846 0.142 0.740
3 Tl 0.346 0.358 0.240
4 Tl 0.154 0.858 0.260
5 Tl 0.346 0.358 0.760
6 Tl 0.654 0.642 0.760
7 Tl 0.846 0.142 0.260
8 Tl 0.654 0.642 0.240
9 I 0.500 0.000 0.746
10 I 0.829 0.833 0.500
11 I 0.359 0.665 0.500
12 I 0.329 0.667 0.000
13 I 0.000 0.500 0.754
14 I 0.000 0.500 0.246
15 I 0.641 0.335 0.500
16 I 0.671 0.333 0.000
17 I 0.141 0.165 0.000
18 I 0.171 0.167 0.500
19 I 0.859 0.835 0.000
20 I 0.500 0.000 0.254
21 Cu 0.544 0.874 0.500
22 Cu 0.456 0.126 0.500
23 Cu 0.044 0.626 0.000
24 Cu 0.956 0.374 0.000